Entry 1:
Compound: Pr5TmMg4
Source: Alexandria
Functional: PBE-GGA
Structure: optimized geometry

## Properties
**Crystal system**: tetragonal
**Calculated total energy**: -3.5519 eV/atom
**Space-group type**: P4/mmm

```
data_Pr5TmMg4
_symmetry_space_group_name_H-M 'P 1'
_symmetry_Int_Tables_number 1
_symmetry_space_group_name_Hall 'P 1'
_cell_length_a 3.8639
_cell_length_b 3.8639
_cell_length_c 20.5608
_cell_angle_alpha 90.00
_cell_angle_beta 90.00
_cell_angle_gamma 90.00
loop_
_atom_site_label
_atom_site_fract_x
_atom_site_fract_y
_atom_site_fract_z
_atom_site_occupancy
Pr1 0.5000 0.5000 0.6924 1
Pr2 0.5000 0.5000 0.3076 1
Mg1 0.0000 0.0000 0.2104 1
Mg2 0.0000 0.0000 0.7896 1
Mg3 0.0000 0.0000 0.5965 1
Pr3 0.5000 0.5000 0.1136 1
Tm1 0.0000 0.0000 0.0000 1
Pr4 0.5000 0.5000 0.5000 1
Mg4 0.0000 0.0000 0.4035 1
Pr5 0.5000 0.5000 0.8864 1
```



Entry 2:
Compound: Ga2Ag5Sn
Source: Alexandria
Functional: PBE-GGA
Structure: optimized geometry

## Properties
**Crystal system**: orthorhombic
**Energy above the most stable polymorph in this dataset**: 0.0 kJ/mol of atoms
**Space-group type**: Pbam

```
data_Ga2Ag5Sn
_symmetry_space_group_name_H-M 'P 1'
_symmetry_Int_Tables_number 1
_symmetry_space_group_name_Hall 'P 1'
_cell_length_a 6.0734
_cell_length_b 10.0238
_cell_length_c 9.8047
_cell_angle_alpha 90.00
_cell_angle_beta 90.00
_cell_angle_gamma 90.00
loop_
_atom_site_label
_atom_site_fract_x
_atom_site_fract_y
_atom_site_fract_z
_atom_site_occupancy
Ag1 0.7594 0.1592 0.7409 1
Ag2 0.7594 0.8408 0.2591 1
Ag3 0.7598 0.0000 0.0000 1
Ag4 0.5000 0.7418 0.0103 1
Sn1 0.5000 0.9114 0.7648 1
Sn2 0.5000 0.0886 0.2352 1
Sn3 0.5000 0.4114 0.7352 1
Ag5 0.0000 0.7401 0.0132 1
Ag6 0.7594 0.3408 0.2409 1
Ga1 0.7575 0.0000 0.5000 1
Ga2 0.2425 0.0000 0.5000 1
Ag7 0.7598 0.5000 0.5000 1
Ag8 0.2406 0.1592 0.7409 1
Ag9 0.2402 0.0000 0.0000 1
Ga3 0.7575 0.5000 0.0000 1
Ag10 0.0000 0.2599 0.9868 1
Sn4 0.5000 0.5886 0.2648 1
Ga4 0.0000 0.5914 0.2665 1
Ag11 0.5000 0.2582 0.9897 1
Ag12 0.5000 0.7582 0.5103 1
Ag13 0.5000 0.2418 0.4897 1
Ga5 0.2425 0.5000 0.0000 1
Ag14 0.2402 0.5000 0.5000 1
Ga6 0.0000 0.9086 0.7665 1
Ga7 0.0000 0.0914 0.2335 1
Ag15 0.2406 0.3408 0.2409 1
Ag16 0.0000 0.2401 0.4868 1
Ga8 0.0000 0.4086 0.7335 1
Ag17 0.2406 0.8408 0.2591 1
Ag18 0.7594 0.6592 0.7591 1
Ag19 0.0000 0.7599 0.5132 1
Ag20 0.2406 0.6592 0.7591 1
```



Entry 3:
Compound: In4Bi2Pb5
Source: Alexandria
Functional: PBE-GGA
Structure: optimized geometry

## Properties
**Crystal system**: orthorhombic
**Energy above the most stable polymorph in this dataset**: 5.7 kJ/mol of atoms
**Space-group type**: Immm

```
data_In4Bi2Pb5
_symmetry_space_group_name_H-M 'P 1'
_symmetry_Int_Tables_number 1
_symmetry_space_group_name_Hall 'P 1'
_cell_length_a 4.2110
_cell_length_b 9.9653
_cell_length_c 9.9639
_cell_angle_alpha 120.00
_cell_angle_beta 102.20
_cell_angle_gamma 90.00
loop_
_atom_site_label
_atom_site_fract_x
_atom_site_fract_y
_atom_site_fract_z
_atom_site_occupancy
Pb1 0.1933 0.5233 0.3865 1
Pb2 0.1933 0.8632 0.3865 1
In1 0.0000 0.2580 0.0000 1
In2 0.0000 0.7420 0.0000 1
Bi1 0.8442 0.8442 0.6885 1
Pb3 0.8067 0.1368 0.6135 1
Bi2 0.1558 0.1558 0.3115 1
Pb4 0.8067 0.4767 0.6135 1
Pb5 0.5000 0.0000 0.0000 1
In3 0.5883 0.5883 0.1767 1
In4 0.4117 0.4117 0.8233 1
```



Entry 4:
Compound: SrAgPb2
Source: Alexandria
Functional: PBE-GGA
Structure: optimized geometry

## Properties
**Crystal system**: monoclinic
**Calculated total energy**: -3.0710 eV/atom
**Space-group type**: C2/m

```
data_SrAgPb2
_symmetry_space_group_name_H-M 'P 1'
_symmetry_Int_Tables_number 1
_symmetry_space_group_name_Hall 'P 1'
_cell_length_a 6.4451
_cell_length_b 6.4451
_cell_length_c 3.6577
_cell_angle_alpha 77.15
_cell_angle_beta 77.15
_cell_angle_gamma 117.77
loop_
_atom_site_label
_atom_site_fract_x
_atom_site_fract_y
_atom_site_fract_z
_atom_site_occupancy
Pb1 0.5000 0.5000 0.0000 1
Sr1 0.5000 0.0000 0.5000 1
Pb2 0.0000 0.0000 0.0000 1
Ag1 0.0000 0.5000 0.5000 1
```



One value per record, in order, for Fermi-level density of states: 11.7, 9.3, 5.1, 2.4 states/eV/cell.
One value per record, in order, for theoretical density: 5.251, 8.874, 9.048, 8.346 g cm⁻³.